Entry 1:
A geometry-optimized PrBeSn structure, computed with PBE.

Unit cell a=4.270 b=4.270 c=4.423 alpha=90.00 beta=90.00 gamma=120.00
Sites, in units of the cell vectors:
Pr 0.000 0.000 0.000
Be 0.333 0.667 0.500
Sn 0.667 0.333 0.500

## Properties
Space group: P-6m2
DFT formation energy: -0.478 eV/atom
DFT total energy: -13.94 eV for the cell shown


Entry 2:
A geometry-optimized TbPr2Be structure, computed with PBE.

Unit cell a=11.918 b=11.918 c=11.918 alpha=16.97 beta=16.97 gamma=16.97
Sites, in units of the cell vectors:
Tb 0.000 0.000 0.000
Pr 0.416 0.416 0.416
Pr 0.584 0.584 0.584
Be 0.500 0.500 0.500

## Properties
Space group: R-3m
DFT formation energy: 0.687 eV/atom
DFT total energy: -15.17 eV for the cell shown
Offset from the most stable computed form: 0.552 eV per atom


Entry 3:
A geometry-optimized TbPr2Be structure, computed with PBE.

Unit cell a=3.614 b=3.614 c=8.700 alpha=90.00 beta=90.00 gamma=90.00
Sites, in units of the cell vectors:
Tb 0.000 0.000 0.000
Pr 0.500 0.500 0.302
Pr 0.500 0.500 0.698
Be 0.000 0.000 0.500

## Properties
Space group: P4/mmm
DFT formation energy: 0.135 eV/atom
DFT total energy: -17.38 eV for the cell shown
Offset from the most stable computed form: 0.000 eV per atom


Entry 4:
A geometry-optimized TbPrBeZn structure, computed with PBE.

Unit cell a=5.055 b=5.055 c=5.055 alpha=60.00 beta=60.00 gamma=60.00
Sites, in units of the cell vectors:
Tb 0.000 0.000 0.000
Pr 0.500 0.500 0.500
Be 0.750 0.750 0.750
Zn 0.250 0.250 0.250

## Properties
Space group: F-43m
DFT formation energy: -0.052 eV/atom
DFT total energy: -14.62 eV for the cell shown


Entry 5:
A geometry-optimized PrBeTe structure, computed with PBE.

Unit cell a=10.418 b=10.418 c=10.418 alpha=25.76 beta=25.76 gamma=25.76
Sites, in units of the cell vectors:
Pr 0.058 0.058 0.058
Pr 0.942 0.942 0.942
Be 0.327 0.327 0.327
Be 0.673 0.673 0.673
Te 0.227 0.227 0.227
Te 0.773 0.773 0.773

## Properties
Space group: R-3m
DFT total energy: -25.99 eV for the cell shown
Raw formation energy: -0.45 eV/atom


Entry 6:
A geometry-optimized PrThBe structure, computed with PBE.

Unit cell a=10.930 b=10.930 c=3.804 alpha=90.00 beta=90.00 gamma=159.45
Sites, in units of the cell vectors:
Pr 0.188 0.812 0.750
Pr 0.812 0.188 0.250
Th 0.424 0.576 0.750
Th 0.576 0.424 0.250
Be 0.025 0.975 0.750
Be 0.975 0.025 0.250

## Properties
Space group: Cmcm
DFT formation energy: 0.099 eV/atom
DFT total energy: -31.26 eV for the cell shown


Entry 7:
A geometry-optimized Pr2TmBe structure, computed with PBE.

Unit cell a=11.851 b=11.851 c=11.851 alpha=16.93 beta=16.93 gamma=16.93
Sites, in units of the cell vectors:
Pr 0.085 0.085 0.085
Pr 0.915 0.915 0.915
Tm 0.500 0.500 0.500
Be 0.000 0.000 0.000

## Properties
Space group: R-3m
DFT formation energy: 0.682 eV/atom
DFT total energy: -15.03 eV for the cell shown


Entry 8:
A geometry-optimized PrTmBe structure, computed with PBE.

Unit cell a=6.561 b=6.561 c=6.561 alpha=148.88 beta=148.88 gamma=44.59
Sites, in units of the cell vectors:
Pr 0.000 0.000 0.000
Tm 0.271 0.271 0.000
Be 0.652 0.652 0.000

## Properties
Space group: I4mm
DFT formation energy: 0.124 eV/atom
DFT total energy: -12.61 eV for the cell shown


Entry 9:
A geometry-optimized PrYBe structure, computed with PBE.

Unit cell a=6.635 b=6.635 c=6.635 alpha=148.90 beta=148.90 gamma=44.56
Sites, in units of the cell vectors:
Pr 0.000 0.000 0.000
Y 0.269 0.269 0.000
Be 0.646 0.646 0.000

## Properties
Space group: I4mm
DFT formation energy: 0.124 eV/atom
DFT total energy: -14.60 eV for the cell shown


Entry 10:
A geometry-optimized PrY2Be structure, computed with PBE.

Unit cell a=3.485 b=3.485 c=8.901 alpha=90.00 beta=90.00 gamma=90.00
Sites, in units of the cell vectors:
Pr 0.000 0.000 0.000
Y 0.500 0.500 0.314
Y 0.500 0.500 0.686
Be 0.000 0.000 0.500

## Properties
Space group: P4/mmm
DFT formation energy: 0.059 eV/atom
DFT total energy: -21.20 eV for the cell shown


Entry 11:
A geometry-optimized Pr2YBe structure, computed with PBE.

Unit cell a=11.931 b=11.931 c=11.931 alpha=16.98 beta=16.98 gamma=16.98
Sites, in units of the cell vectors:
Pr 0.084 0.084 0.084
Pr 0.916 0.916 0.916
Y 0.500 0.500 0.500
Be 0.000 0.000 0.000

## Properties
Space group: R-3m
DFT formation energy: 0.689 eV/atom
DFT total energy: -16.99 eV for the cell shown


Entry 12:
A geometry-optimized Pr12Be3Zn5 structure, computed with PBE.

Unit cell a=15.031 b=15.031 c=15.031 alpha=109.47 beta=109.47 gamma=109.47
Sites, in units of the cell vectors:
Pr 0.062 0.229 0.136
Pr 0.062 0.333 0.926
Pr 0.074 0.636 0.407
Pr 0.074 0.938 0.667
Pr 0.093 0.729 0.667
Pr 0.093 0.864 0.426
Pr 0.136 0.062 0.229
Pr 0.136 0.574 0.907
Pr 0.167 0.229 0.593
Pr 0.167 0.438 0.574
Pr 0.229 0.136 0.062
Pr 0.229 0.593 0.167
Pr 0.271 0.333 0.907
Pr 0.271 0.438 0.364
Pr 0.333 0.907 0.271
Pr 0.333 0.926 0.062
Pr 0.364 0.271 0.438
Pr 0.364 0.593 0.926
Pr 0.407 0.074 0.636
Pr 0.407 0.833 0.771
Pr 0.426 0.093 0.864
Pr 0.426 0.833 0.562
Pr 0.438 0.364 0.271
Pr 0.438 0.574 0.167
Pr 0.562 0.426 0.833
Pr 0.562 0.636 0.729
Pr 0.574 0.167 0.438
Pr 0.574 0.907 0.136
Pr 0.593 0.167 0.229
Pr 0.593 0.926 0.364
Pr 0.636 0.407 0.074
Pr 0.636 0.729 0.562
Pr 0.667 0.074 0.938
Pr 0.667 0.093 0.729
Pr 0.729 0.562 0.636
Pr 0.729 0.667 0.093
Pr 0.771 0.407 0.833
Pr 0.771 0.864 0.938
Pr 0.833 0.562 0.426
Pr 0.833 0.771 0.407
Pr 0.864 0.426 0.093
Pr 0.864 0.938 0.771
Pr 0.907 0.136 0.574
Pr 0.907 0.271 0.333
Pr 0.926 0.062 0.333
Pr 0.926 0.364 0.593
Pr 0.938 0.667 0.074
Pr 0.938 0.771 0.864
Be 0.125 0.250 0.375
Be 0.125 0.375 0.750
Be 0.250 0.375 0.125
Be 0.250 0.875 0.625
Be 0.375 0.125 0.250
Be 0.375 0.750 0.125
Be 0.625 0.250 0.875
Be 0.625 0.875 0.750
Be 0.750 0.125 0.375
Be 0.750 0.625 0.875
Be 0.875 0.625 0.250
Be 0.875 0.750 0.625
Zn 0.000 0.000 0.000
Zn 0.000 0.000 0.500
Zn 0.000 0.500 0.000
Zn 0.000 0.500 0.500
Zn 0.125 0.750 0.875
Zn 0.125 0.875 0.250
Zn 0.250 0.125 0.875
Zn 0.250 0.625 0.375
Zn 0.375 0.250 0.625
Zn 0.375 0.625 0.750
Zn 0.500 0.000 0.000
Zn 0.500 0.000 0.500
Zn 0.500 0.500 0.000
Zn 0.500 0.500 0.500
Zn 0.625 0.375 0.250
Zn 0.625 0.750 0.375
Zn 0.750 0.375 0.625
Zn 0.750 0.875 0.125
Zn 0.875 0.125 0.750
Zn 0.875 0.250 0.125

## Properties
Space group: Ia-3d
DFT formation energy: 0.382 eV/atom
DFT total energy: -269.03 eV for the cell shown


Entry 13:
A geometry-optimized PrBeZn structure, computed with PBE.

Unit cell a=6.263 b=6.263 c=6.263 alpha=90.00 beta=90.00 gamma=90.00
Sites, in units of the cell vectors:
Pr 0.154 0.154 0.154
Pr 0.346 0.846 0.654
Pr 0.654 0.346 0.846
Pr 0.846 0.654 0.346
Be 0.071 0.571 0.929
Be 0.429 0.429 0.429
Be 0.571 0.929 0.071
Be 0.929 0.071 0.571
Zn 0.157 0.343 0.657
Zn 0.343 0.657 0.157
Zn 0.657 0.157 0.343
Zn 0.843 0.843 0.843

## Properties
Space group: P2_13
DFT formation energy: -0.078 eV/atom
DFT total energy: -40.05 eV for the cell shown


Entry 14:
A geometry-optimized Be5Pt structure, computed with PBE.

Unit cell a=4.208 b=4.208 c=3.610 alpha=90.00 beta=90.00 gamma=120.00
Sites, in units of the cell vectors:
Be 0.000 0.603 0.000
Be 0.333 0.667 0.500
Be 0.397 0.397 0.000
Be 0.603 0.000 0.000
Be 0.667 0.333 0.500
Pt 0.000 0.000 0.500

## Properties
Space group: P-62m
DFT formation energy: -0.344 eV/atom
DFT total energy: -26.73 eV for the cell shown


Entry 15:
A geometry-optimized Be5Pt structure, computed with PBE.

Unit cell a=4.239 b=4.239 c=5.232 alpha=108.00 beta=108.00 gamma=39.29
Sites, in units of the cell vectors:
Be 0.000 0.000 0.000
Be 0.328 0.328 0.686
Be 0.333 0.333 0.145
Be 0.667 0.667 0.855
Be 0.672 0.672 0.314
Pt 0.000 0.000 0.500

## Properties
Space group: C2/m
DFT formation energy: -0.273 eV/atom
DFT total energy: -26.31 eV for the cell shown


Entry 16:
A geometry-optimized Be6Pt7 structure, computed with PBE.

Unit cell a=8.684 b=8.684 c=8.684 alpha=35.36 beta=35.36 gamma=35.36
Sites, in units of the cell vectors:
Be 0.072 0.072 0.072
Be 0.189 0.189 0.189
Be 0.333 0.333 0.333
Be 0.667 0.667 0.667
Be 0.811 0.811 0.811
Be 0.928 0.928 0.928
Pt 0.073 0.572 0.572
Pt 0.428 0.428 0.927
Pt 0.428 0.927 0.428
Pt 0.500 0.500 0.500
Pt 0.572 0.073 0.572
Pt 0.572 0.572 0.073
Pt 0.927 0.428 0.428

## Properties
Space group: R-3m
DFT formation energy: -0.094 eV/atom
DFT total energy: -65.86 eV for the cell shown


Entry 17:
A geometry-optimized BePt4 structure, computed with PBE.

Unit cell a=4.220 b=4.220 c=4.220 alpha=90.00 beta=90.00 gamma=90.00
Sites, in units of the cell vectors:
Be 0.000 0.000 0.000
Pt 0.000 0.000 0.500
Pt 0.000 0.500 0.000
Pt 0.500 0.000 0.000
Pt 0.500 0.500 0.500

## Properties
Space group: Pm-3m
DFT formation energy: 0.146 eV/atom
DFT total energy: -27.16 eV for the cell shown
Offset from the most stable computed form: 0.357 eV per atom


Entry 18:
A geometry-optimized Be3Pt5 structure, computed with PBE.

Unit cell a=6.899 b=6.899 c=6.368 alpha=95.05 beta=95.05 gamma=135.18
Sites, in units of the cell vectors:
Be 0.156 0.844 0.000
Be 0.256 0.744 0.500
Be 0.423 0.423 0.680
Be 0.577 0.577 0.320
Be 0.744 0.256 0.500
Be 0.844 0.156 0.000
Pt 0.096 0.312 0.374
Pt 0.136 0.510 0.801
Pt 0.252 0.252 0.003
Pt 0.312 0.096 0.374
Pt 0.490 0.864 0.199
Pt 0.510 0.136 0.801
Pt 0.688 0.904 0.626
Pt 0.748 0.748 0.997
Pt 0.864 0.490 0.199
Pt 0.904 0.688 0.626

## Properties
Space group: C2/m
DFT formation energy: -0.527 eV/atom
DFT total energy: -91.19 eV for the cell shown
Offset from the most stable computed form: 0.125 eV per atom


Entry 19:
A geometry-optimized Be7Pt structure, computed with PBE.

Unit cell a=4.727 b=4.727 c=4.727 alpha=60.00 beta=60.00 gamma=60.00
Sites, in units of the cell vectors:
Be 0.000 0.000 0.000
Be 0.000 0.000 0.500
Be 0.000 0.500 0.000
Be 0.000 0.500 0.500
Be 0.500 0.000 0.000
Be 0.500 0.000 0.500
Be 0.500 0.500 0.000
Pt 0.500 0.500 0.500

## Properties
Space group: Fm-3m
DFT formation energy: -0.155 eV/atom
DFT total energy: -33.36 eV for the cell shown


Entry 20:
A geometry-optimized Be5Pt3 structure, computed with PBE.

Unit cell a=6.931 b=6.931 c=4.505 alpha=90.00 beta=90.00 gamma=59.91
Sites, in units of the cell vectors:
Be 0.167 0.167 0.000
Be 0.167 0.167 0.500
Be 0.247 0.500 0.250
Be 0.247 0.753 0.750
Be 0.500 0.247 0.750
Be 0.500 0.753 0.250
Be 0.753 0.247 0.250
Be 0.753 0.500 0.750
Be 0.833 0.833 0.000
Be 0.833 0.833 0.500
Pt 0.126 0.500 0.750
Pt 0.126 0.874 0.250
Pt 0.500 0.126 0.250
Pt 0.500 0.874 0.750
Pt 0.874 0.126 0.750
Pt 0.874 0.500 0.250

## Properties
Space group: Cmcm
DFT formation energy: -0.458 eV/atom
DFT total energy: -80.83 eV for the cell shown
Offset from the most stable computed form: 0.153 eV per atom